[1]
## Rb2MnI4 (PBE)

Data for a relaxed Rb2MnI4 crystal.

Geometry as POSCAR:
```
Rb2MnI4
1.0
-1.135 -3.642 4.421
4.129 -3.643 -1.942
7.719 0.666 6.385
Mn Rb I
1 2 4
Direct
0.000 0.000 0.000
0.361 0.361 0.278
0.639 0.639 0.722
0.842 0.842 0.316
0.000 0.500 0.000
0.500 0.000 0.000
0.158 0.158 0.684
```

Computed properties:
SG: I4/mmm, No. 139
raw total energy: -24.38 eV/f.u.
calculated volume: 44.568 Å³ per atom
E_form (uncorrected): -23.3 kcal/mol of atoms



[2]
## RbMn2I4 (PBE)

Data for a relaxed RbMn2I4 crystal.

Geometry as POSCAR:
```
RbMn2I4
1.0
-5.035 -5.338 2.176
6.977 2.266 2.181
-3.892 6.147 2.374
I Mn Rb
4 2 1
Direct
0.287 0.097 0.384
0.713 0.903 0.616
0.097 0.713 0.810
0.903 0.287 0.190
0.250 0.750 0.500
0.750 0.250 0.500
0.500 0.500 0.000
```

Computed properties:
SG: I4/m, No. 87
raw total energy: -29.61 eV/f.u.
calculated volume: 40.956 Å³ per atom
E_form (uncorrected): -13.5 kcal/mol of atoms



[3]
## RbMn2I5 (PBE)

Data for a relaxed RbMn2I5 crystal.

Geometry as POSCAR:
```
RbMn2I5
1.0
6.308 0.000 0.000
-3.154 9.842 0.000
0.000 0.000 13.200
I Mn Rb
10 4 2
Direct
0.278 0.557 0.409
0.083 0.166 0.920
0.722 0.443 0.591
0.722 0.443 0.909
0.278 0.557 0.091
0.308 0.616 0.750
0.917 0.834 0.080
0.692 0.384 0.250
0.083 0.166 0.580
0.917 0.834 0.420
0.785 0.569 0.410
0.785 0.569 0.090
0.215 0.431 0.910
0.215 0.431 0.590
0.926 0.852 0.750
0.074 0.148 0.250
```

Computed properties:
SG: Cmcm, No. 63
raw total energy: -32.07 eV/f.u.
calculated volume: 51.220 Å³ per atom
E_form (uncorrected): -14.4 kcal/mol of atoms



[4]
## RbMn3I (PBE)

Data for a relaxed RbMn3I crystal.

Geometry as POSCAR:
```
RbMn3I
1.0
6.305 0.000 0.000
0.000 6.305 0.000
0.000 0.000 6.305
I Mn Rb
1 3 1
Direct
0.500 0.500 0.500
0.500 0.000 0.000
0.000 0.000 0.500
0.000 0.500 0.000
0.000 0.000 0.000
```

Computed properties:
SG: Pm-3m, No. 221
raw total energy: -20.41 eV/f.u.
calculated volume: 50.136 Å³ per atom
E_form (uncorrected): 44.4 kcal/mol of atoms